An optimized crystal structure of AsOs2Au. Source: Alexandria via LeMat-Bulk, functional PBE. Values from VASP.

```
&SYSTEM
  ibrav = 0, nat = 4, ntyp = 3
/
ATOMIC_SPECIES
Os 190.23 Os.upf
As 74.92 As.upf
Au 196.97 Au.upf
CELL_PARAMETERS angstrom
-1.208 -1.802 -2.320
4.051 -0.605 -1.639
0.488 -3.582 2.529
ATOMIC_POSITIONS crystal
Os 0.000 0.000 0.000
Os 0.000 0.500 0.500
As 0.500 0.500 0.000
Au 0.500 0.000 0.500
```

Summary:
Fermi-level density of states: 3.31 states/eV/cell
Space-group type: P4/mmm, No. 123
Calculated density: 17.5 g/cm3
Uncorrected energy: -27.36 eV/f.u.


An optimized crystal structure of CoRh. Source: Alexandria via LeMat-Bulk, functional PBE. Values from VASP.

```
&SYSTEM
  ibrav = 0, nat = 6, ntyp = 2
/
ATOMIC_SPECIES
Co 58.93 Co.upf
Rh 102.91 Rh.upf
CELL_PARAMETERS angstrom
2.648 0.000 0.000
0.000 12.641 0.000
1.324 0.000 2.293
ATOMIC_POSITIONS crystal
Co 0.000 0.009 0.000
Co 0.667 0.161 0.667
Co 0.000 0.497 0.000
Rh 0.333 0.330 0.333
Rh 0.667 0.661 0.667
Rh 0.333 0.843 0.333
```

Summary:
Fermi-level density of states: 7.87 states/eV/cell
Space-group type: P3m1, No. 156
Calculated density: 10.5 g/cm3
Uncorrected energy: -14.33 eV/f.u.


An optimized crystal structure of SrLa2AlH. Source: Alexandria via LeMat-Bulk, functional PBE. Values from VASP.

```
&SYSTEM
  ibrav = 0, nat = 5, ntyp = 4
/
ATOMIC_SPECIES
Sr 87.62 Sr.upf
Al 26.98 Al.upf
H 1.01 H.upf
La 138.91 La.upf
CELL_PARAMETERS angstrom
5.069 0.000 0.000
0.000 5.069 0.000
0.000 0.000 5.203
ATOMIC_POSITIONS crystal
Sr 0.000 0.000 0.500
Al 0.500 0.500 0.500
H 0.000 0.000 0.000
La 0.000 0.500 0.000
La 0.500 0.000 0.000
```

Summary:
Fermi-level density of states: 6.49 states/eV/cell
Space-group type: P4/mmm, No. 123
Calculated density: 4.9 g/cm3
Uncorrected energy: -19.48 eV/f.u.


An optimized crystal structure of Ce8P3Se4N. Source: Alexandria via LeMat-Bulk, functional PBE. Values from VASP.

```
&SYSTEM
  ibrav = 0, nat = 16, ntyp = 4
/
ATOMIC_SPECIES
Ce 140.12 Ce.upf
P 30.97 P.upf
Se 78.96 Se.upf
N 14.01 N.upf
CELL_PARAMETERS angstrom
8.123 0.000 0.000
0.000 8.257 0.089
-4.061 -4.057 5.747
ATOMIC_POSITIONS crystal
Ce 0.230 0.721 0.990
Ce 0.230 0.721 0.460
Ce 0.255 0.265 0.510
Ce 0.760 0.721 0.990
Ce 0.240 0.279 0.010
Ce 0.745 0.735 0.490
Ce 0.770 0.279 0.540
Ce 0.770 0.279 0.010
P 0.500 0.500 0.000
P 0.500 0.500 0.500
P 0.000 0.500 0.500
Se 0.500 0.000 0.000
Se 0.500 0.000 0.500
Se 0.000 0.000 0.000
Se 0.000 0.000 0.500
N 0.000 0.500 0.000
```

Summary:
Fermi-level density of states: 38.55 states/eV/cell
Space-group type: R-3m, No. 166
Calculated density: 6.6 g/cm3
Uncorrected energy: -112.11 eV/f.u.